DFT (PBE) results for crystalline CdTeCl4 at its relaxed geometry.

Properties
energy relative to the elements, uncorrected = 0.494 eV per atom
E_tot = -0.1039 Ry per atom
ρ = 4108 kg/m3
volume = 154.3 Å³ per cell
space group = No. 216

Cell: 6.0209 6.0209 6.0209 Å, 60.00 60.00 60.00°
Closest atoms and distances in Å follow each position.
Sites, in units of the cell vectors:
Cl1 0.3740 0.8781 0.3740  6 Cl 2.99-3.04
Cl2 0.3740 0.3740 0.8781  6 Cl 2.99-3.04
Cl3 0.3740 0.3740 0.3740  6 Cl 2.99-3.04
Cd1 0.0000 0.0000 0.0000  12 Cl 3.53, 4 Te 3.69
Te1 0.7500 0.7500 0.7500  12 Cl 3.53, 4 Cd 3.69
Cl4 0.8781 0.3740 0.3740  6 Cl 2.99-3.04



DFT (PBE) results for crystalline ThHgRu2 at its relaxed geometry.

Properties
energy of formation from the pure elements = -112 meV per atom
E_tot = -0.4910 Ry per atom
ρ = 13712 kg/m3
volume = 76.9 Å³ per cell
space group = No. 123

Cell: 3.8258 4.4825 4.4825 Å, 90.00 90.00 90.00°
Closest atoms and distances in Å follow each position.
Sites, in units of the cell vectors:
Th1 0.5000 0.5000 0.5000  8 Ru 2.95, 4 Hg 3.17
Ru1 0.0000 0.0000 0.5000  4 Hg 2.95, 4 Th 2.95, 4 Ru 3.17
Ru2 0.0000 0.5000 0.0000  4 Hg 2.95, 4 Th 2.95, 4 Ru 3.17
Hg1 0.5000 0.0000 0.0000  8 Ru 2.95, 4 Th 3.17



- Number 2 is which compound?
  ThHgRu2



- What is the ρ in the first record?
  4108 kg/m3



- The lowest E_tot belongs to which entry?
  ThHgRu2